Entry 1:
Below is an optimized crystal structure of Cd2NiHg, with properties calculated at the GGA-PBE level.

Magnetization: 0.0 Bohr magnetons per cell
VASP energy: -14.7 eV for the cell shown

a b c (Å): 4.1483 4.1483 8.6649
angles (deg): 90.00 90.00 90.00
Closest atoms and distances in Å follow each position.
Space group I4/mmm (No. 139)
Unique sites:
Cd  0.0000  0.5000  0.2500 [4 per cell]  4 Cd 2.93, 4 Hg 3.00, 4 Ni 3.00
Ni  0.0000  0.0000  0.0000 [2 per cell]  4 Hg 2.93, 8 Cd 3.00
Hg  0.0000  0.0000  0.5000 [2 per cell]  4 Ni 2.93, 8 Cd 3.00

Entry 2:
Below is an optimized crystal structure of CdNi2Hg, with properties calculated at the GGA-PBE level.

Magnetization: 0.0 Bohr magnetons per cell
VASP energy: -43.9 eV for the cell shown

a b c (Å): 7.0687 7.0687 5.5248
angles (deg): 90.00 90.00 90.00
Closest atoms and distances in Å follow each position.
Space group I-42d (No. 122)
Unique sites:
Cd  0.0000  0.0000  0.0000 [4 per cell]  4 Ni 2.60, 2 Hg 2.76
Ni  0.2478  0.2500  0.6250 [8 per cell]  2 Hg 2.58, 2 Cd 2.60, 2 Ni 2.76
Hg  0.0000  0.0000  0.5000 [4 per cell]  4 Ni 2.58, 2 Cd 2.76

Entry 3:
Below is an optimized crystal structure of CdNi2Hg, with properties calculated at the GGA-PBE level.

Magnetization: 0.6 Bohr magnetons per cell
VASP energy: -12.2 eV for the cell shown

a b c (Å): 2.9998 2.9998 7.1818
angles (deg): 90.00 90.00 90.00
Closest atoms and distances in Å follow each position.
Space group P4mm (No. 99)
Unique sites:
Cd  0.0000  0.0000  0.0000 [1 per cell]  5 Ni 2.73-2.93, 4 Cd 3.00
Ni  0.0000  0.0000  0.5918 [1 per cell]  4 Ni 2.44
Ni  0.5000  0.5000  0.7597 [1 per cell]  4 Ni 2.44
Hg  0.5000  0.5000  0.3443 [1 per cell]  5 Ni 2.77-2.98, 4 Hg 3.00

Entry 4:
Below is an optimized crystal structure of CdNiHg2, with properties calculated at the GGA-PBE level.

Magnetization: 0.0 Bohr magnetons per cell
VASP energy: -24.3 eV for the cell shown

a b c (Å): 4.2261 4.2261 19.2743
angles (deg): 90.00 90.00 90.00
Closest atoms and distances in Å follow each position.
Space group I-42d (No. 122)
Unique sites:
Cd  0.0000  0.0000  0.0000 [4 per cell]  4 Hg 2.87, 4 Ni 2.99
Ni  0.0000  0.0000  0.5000 [4 per cell]  4 Hg 2.80, 4 Cd 2.99
Hg  0.2292  0.2500  0.6250 [8 per cell]  2 Ni 2.80, 4 Hg 2.87-3.12, 2 Cd 2.87

Table of density (g/cm3), in record order: 10.8 10.4 11.1 11.0